A plane-wave DFT calculation with PBE was carried out for HoErO3 after structural relaxation.

Computed properties:
For the total energy, the calculation gives -250.15 eV for the cell shown. The space group is P6_3cm (185). The magnetic moment comes out at 0.0 μB/cell. For the uncorrected formation energy, the calculation gives -3535 meV per atom. The density of states at the Fermi level is 0.00 states/eV/cell.

Lattice parameters (Å, degrees): 6.375 6.375 12.653 90.00 90.00 120.00
Positions (direct):
Er 0.333 0.000 0.996
O 0.000 0.304 0.170
O 0.304 0.304 0.670
O 0.000 0.634 0.324
Er 0.000 0.667 0.496
O 0.333 0.667 0.525
O 0.696 0.000 0.670
O 0.000 0.000 0.961
O 0.667 0.333 0.025
Er 0.667 0.000 0.496
Er 0.000 0.333 0.996
Er 0.667 0.667 0.996
O 0.366 0.000 0.824
Ho 0.667 0.333 0.732
O 0.000 0.366 0.824
Ho 0.667 0.333 0.232
Ho 0.000 0.000 0.265
Er 0.333 0.333 0.496
O 0.333 0.667 0.025
O 0.696 0.696 0.170
Ho 0.333 0.667 0.232
O 0.634 0.000 0.324
O 0.366 0.366 0.324
Ho 0.333 0.667 0.732
O 0.000 0.000 0.461
O 0.667 0.333 0.525
O 0.000 0.696 0.670
Ho 0.000 0.000 0.765
O 0.304 0.000 0.170
O 0.634 0.634 0.824